VASP calculation (PBE with a Hubbard U) on crystalline TaCrCoO6 at its relaxed geometry.

abc: 4.5747 4.5747 8.9239
angles: 90.00 90.00 90.00
Each line ends with the local moment (μB).
Atoms (fractional coordinates):
Ta: 0.0000 0.0000 0.3309  0.04
Ta: 0.5000 0.5000 0.8309  0.04
O: 0.7975 0.2025 0.1671  -0.04
O: 0.3000 0.3000 0.0026  -0.08
O: 0.1899 0.8101 0.8320  -0.07
O: 0.6899 0.6899 0.3320  -0.07
O: 0.7000 0.7000 0.0026  -0.08
O: 0.7999 0.2001 0.5026  -0.08
O: 0.2975 0.2975 0.6671  -0.04
O: 0.2025 0.7975 0.1671  -0.04
O: 0.2001 0.7999 0.5026  -0.08
O: 0.3101 0.3101 0.3320  -0.07
O: 0.8101 0.1899 0.8320  -0.07
O: 0.7025 0.7025 0.6671  -0.04
Cr: 0.5000 0.5000 0.4993  2.34
Cr: 0.0000 0.0000 0.9993  2.34
Co: 0.0000 0.0000 0.6664  -0.01
Co: 0.5000 0.5000 0.1664  -0.01

For the total magnetization, the calculation gives 0.22 μB per atom. The density of states at the Fermi level comes out at 1.0 states/eV per cell. The calculation puts the energy at -7.859 eV/atom.